1.
First-principles (PBE) data for a relaxed SmCdPt crystal, as listed in the Alexandria database.

The space group is Cmcm (No. 63) and the conventional cell measures 3.928, 19.301 and 4.255 Å, with angles of 90.00, 90.00 and 90.00 degrees. The asymmetric unit holds Sm at (0.000, 0.186, 0.250), Cd at (0.000, 0.050, 0.750) and Pt at (0.000, 0.339, 0.250).

Its total magnetization is 0.000 μB per atom. As for the density of states at the Fermi level: 0.465 states/eV per atom. Its formation energy is -0.68 eV/atom.

2.
First-principles (PBE) data for a relaxed Sm2CdPt3 crystal, as listed in the Alexandria database.

The space group is Pnma (No. 62) and the conventional cell measures 7.513, 3.936 and 17.557 Å, with angles of 90.00, 90.00 and 90.00 degrees. The asymmetric unit holds Sm at (0.097, 0.250, 0.214), Sm at (0.152, 0.250, 0.430), Cd at (0.011, 0.750, 0.063), Pt at (0.087, 0.250, 0.658), Pt at (0.209, 0.250, 0.811) and Pt at (0.230, 0.750, 0.556).

Its total magnetization is 0.000 μB per atom. As for the density of states at the Fermi level: 0.387 states/eV per atom. Its formation energy is -0.94 eV/atom.

3.
First-principles (PBE) data for a relaxed SmCdPt crystal, as listed in the Alexandria database.

The space group is I4mm (No. 107) and the conventional cell measures 3.753, 3.753 and 9.576 Å, with angles of 90.00, 90.00 and 90.00 degrees. The asymmetric unit holds Sm at (0.000, 0.000, 0.000), Cd at (0.000, 0.000, 0.312) and Pt at (0.000, 0.000, 0.649).

Its total magnetization is 0.000 μB per atom. As for the density of states at the Fermi level: 0.509 states/eV per atom. Its formation energy is -0.69 eV/atom.

4.
First-principles (PBE) data for a relaxed SmCdPt3 crystal, as listed in the Alexandria database.

The space group is P6_3/mmc (No. 194) and the conventional cell measures 6.5855, 6.5855 and 5.5962 Å, with angles of 90.00, 90.00 and 120.00 degrees. The asymmetric unit holds Sm at (0.3333, 0.6667, 0.2500), Cd at (0.0000, 0.0000, 0.0000) and Pt at (0.2011, 0.4022, 0.7500).

Its total magnetization is 0.000 μB per atom. As for the density of states at the Fermi level: 0.461 states/eV per atom. Its formation energy is -0.51 eV/atom.

5.
First-principles (PBE) data for a relaxed SmCd9Pt2 crystal, as listed in the Alexandria database.

The space group is I4_1/amd (No. 141, origin choice 2) and the conventional cell measures 11.727, 11.727 and 7.535 Å, with angles of 90.00, 90.00 and 90.00 degrees. The asymmetric unit holds Sm at (0.000, 0.250, 0.375), Cd at (0.000, 0.250, 0.875), Cd at (0.120, 0.051, 0.677) and Pt at (0.000, 0.000, 0.000).

Its total magnetization is 0.000 μB per atom. As for the density of states at the Fermi level: 0.641 states/eV per atom. Its formation energy is -0.23 eV/atom.

6.
First-principles (PBE) data for a relaxed SmCdPt crystal, as listed in the Alexandria database.

The space group is P-6m2 (No. 187) and the conventional cell measures 4.7113, 4.7113 and 3.6100 Å, with angles of 90.00, 90.00 and 120.00 degrees. The asymmetric unit holds Sm at (0.0000, 0.0000, 0.0000), Cd at (0.6667, 0.3333, 0.5000) and Pt at (0.3333, 0.6667, 0.5000).

Its total magnetization is 0.000 μB per atom. As for the density of states at the Fermi level: 0.938 states/eV per atom. Its formation energy is -0.67 eV/atom.

7.
First-principles (PBE) data for a relaxed Sm2Cd3Pt2 crystal, as listed in the Alexandria database.

The space group is C2/m (No. 12) and the conventional cell measures 10.393, 4.038 and 7.759 Å, with angles of 90.00, 95.08 and 90.00 degrees. The asymmetric unit holds Sm at (0.123, 0.000, 0.353), Cd at (0.000, 0.500, 0.000), Cd at (0.190, 0.000, 0.872) and Pt at (0.095, 0.500, 0.638).

Its total magnetization is 0.000 μB per atom. As for the density of states at the Fermi level: 0.406 states/eV per atom. The energy above the most stable polymorph in this dataset is 27 meV/atom. Its formation energy is -0.70 eV/atom.

8.
First-principles (PBE) data for a relaxed SmCd5Pt3 crystal, as listed in the Alexandria database.

The space group is Cmcm (No. 63) and the conventional cell measures 3.701, 14.770 and 14.197 Å, with angles of 90.00, 90.00 and 90.00 degrees. The asymmetric unit holds Sm at (0.000, 0.163, 0.250), Cd at (0.000, 0.000, 0.000), Cd at (0.000, 0.195, 0.556), Cd at (0.000, 0.442, 0.152), Pt at (0.000, 0.175, 0.750) and Pt at (0.000, 0.380, 0.587).

Its total magnetization is 0.000 μB per atom. As for the density of states at the Fermi level: 0.438 states/eV per atom. Its formation energy is -0.37 eV/atom.

no.,ρ (Mg/m³)
1,9.43
2,12.77
3,11.27
4,13.40
5,9.95
6,10.96
7,10.53
8,11.11